Record 1
# TlP PBEsol relaxed
# - formation energy (eV/f.u.) = 0.07
data_TlP
_symmetry_space_group_name_H-M 'P 1'
_symmetry_Int_Tables_number 1
_cell_length_a 9.469
_cell_length_b 9.469
_cell_length_c 9.469
_cell_angle_alpha 20.26
_cell_angle_beta 20.26
_cell_angle_gamma 20.26
loop_
_symmetry_equiv_pos_as_xyz
'x,y,z'
loop_
_atom_site_label
_atom_site_type_symbol
_atom_site_fract_x
_atom_site_fract_y
_atom_site_fract_z
Tl1 Tl 0.115 0.115 0.115
Tl2 Tl 0.885 0.885 0.885
P1 P 0.311 0.311 0.311
P2 P 0.689 0.689 0.689

Record 2
# ZnCd2Rh PBEsol relaxed
# - formation energy (eV/f.u.) = -0.49
data_ZnCd2Rh
_symmetry_space_group_name_H-M 'P 1'
_symmetry_Int_Tables_number 1
_cell_length_a 5.164
_cell_length_b 5.164
_cell_length_c 5.164
_cell_angle_alpha 140.38
_cell_angle_beta 131.07
_cell_angle_gamma 64.70
loop_
_symmetry_equiv_pos_as_xyz
'x,y,z'
loop_
_atom_site_label
_atom_site_type_symbol
_atom_site_fract_x
_atom_site_fract_y
_atom_site_fract_z
Zn1 Zn 0.000 0.000 0.000
Cd1 Cd 0.255 0.755 0.500
Cd2 Cd 0.525 0.525 0.000
Rh1 Rh 0.785 0.285 0.500

Record 3
# MnTl2Ir PBEsol relaxed
# - offset from the most stable computed form (eV per atom) = 0.183
# - formation energy (eV/f.u.) = 2.06
data_MnTl2Ir
_symmetry_space_group_name_H-M 'P 1'
_symmetry_Int_Tables_number 1
_cell_length_a 4.667
_cell_length_b 4.667
_cell_length_c 4.667
_cell_angle_alpha 60.00
_cell_angle_beta 60.00
_cell_angle_gamma 60.00
loop_
_symmetry_equiv_pos_as_xyz
'x,y,z'
loop_
_atom_site_label
_atom_site_type_symbol
_atom_site_fract_x
_atom_site_fract_y
_atom_site_fract_z
Mn1 Mn 0.000 0.000 0.000
Tl1 Tl 0.250 0.250 0.250
Tl2 Tl 0.750 0.750 0.750
Ir1 Ir 0.500 0.500 0.500

Record 4
# TaCdHg2 PBEsol relaxed
# - formation energy (eV/f.u.) = 1.00
data_TaCdHg2
_symmetry_space_group_name_H-M 'P 1'
_symmetry_Int_Tables_number 1
_cell_length_a 5.839
_cell_length_b 5.839
_cell_length_c 5.400
_cell_angle_alpha 115.76
_cell_angle_beta 115.76
_cell_angle_gamma 28.28
loop_
_symmetry_equiv_pos_as_xyz
'x,y,z'
loop_
_atom_site_label
_atom_site_type_symbol
_atom_site_fract_x
_atom_site_fract_y
_atom_site_fract_z
Ta1 Ta 0.000 0.000 0.000
Cd1 Cd 0.261 0.261 0.571
Hg1 Hg 0.502 0.502 0.487
Hg2 Hg 0.741 0.741 0.049

Record 5
# KTaSi4 PBEsol relaxed
# - formation energy from raw total energies (meV/atom) = 488
data_KTaSi4
_symmetry_space_group_name_H-M 'P 1'
_symmetry_Int_Tables_number 1
_cell_length_a 5.137
_cell_length_b 5.137
_cell_length_c 5.137
_cell_angle_alpha 60.00
_cell_angle_beta 60.00
_cell_angle_gamma 60.00
loop_
_symmetry_equiv_pos_as_xyz
'x,y,z'
loop_
_atom_site_label
_atom_site_type_symbol
_atom_site_fract_x
_atom_site_fract_y
_atom_site_fract_z
K1 K 0.000 0.000 0.000
Ta1 Ta 0.250 0.250 0.250
Si1 Si 0.133 0.622 0.622
Si2 Si 0.622 0.133 0.622
Si3 Si 0.622 0.622 0.133
Si4 Si 0.622 0.622 0.622

Record 6
Here is crystalline TeHSeI2 at its relaxed geometry from Alexandria. Energies are from PBEsol.

```
data_TeHSeI2
_symmetry_space_group_name_H-M 'P 1'
_symmetry_Int_Tables_number 1
_cell_length_a 5.543
_cell_length_b 5.543
_cell_length_c 3.807
_cell_angle_alpha 90.00
_cell_angle_beta 90.00
_cell_angle_gamma 90.00
loop_
_symmetry_equiv_pos_as_xyz
'x,y,z'
loop_
_atom_site_label
_atom_site_type_symbol
_atom_site_fract_x
_atom_site_fract_y
_atom_site_fract_z
Te1 Te 0.000 0.000 0.000
H1 H 0.000 0.000 0.500
Se1 Se 0.500 0.500 0.000
I1 I 0.000 0.500 0.500
I2 I 0.500 0.000 0.500
```

Record 7
# Bi2PbCl PBEsol relaxed
# - formation energy from raw total energies (meV/atom) = -120
data_Bi2PbCl
_symmetry_space_group_name_H-M 'P 1'
_symmetry_Int_Tables_number 1
_cell_length_a 5.334
_cell_length_b 5.334
_cell_length_c 5.334
_cell_angle_alpha 60.00
_cell_angle_beta 60.00
_cell_angle_gamma 60.00
loop_
_symmetry_equiv_pos_as_xyz
'x,y,z'
loop_
_atom_site_label
_atom_site_type_symbol
_atom_site_fract_x
_atom_site_fract_y
_atom_site_fract_z
Bi1 Bi 0.250 0.250 0.250
Bi2 Bi 0.750 0.750 0.750
Pb1 Pb 0.000 0.000 0.000
Cl1 Cl 0.500 0.500 0.500

Record 8
# PrAlGe2O7 PBEsol relaxed
# - formation energy from raw total energies (meV/atom) = -2451
data_PrAlGe2O7
_symmetry_space_group_name_H-M 'P 1'
_symmetry_Int_Tables_number 1
_cell_length_a 7.238
_cell_length_b 6.550
_cell_length_c 12.770
_cell_angle_alpha 90.00
_cell_angle_beta 117.50
_cell_angle_gamma 90.00
loop_
_symmetry_equiv_pos_as_xyz
'x,y,z'
loop_
_atom_site_label
_atom_site_type_symbol
_atom_site_fract_x
_atom_site_fract_y
_atom_site_fract_z
Pr1 Pr 0.236 0.148 0.475
Pr2 Pr 0.236 0.352 0.975
Pr3 Pr 0.764 0.648 0.025
Pr4 Pr 0.764 0.852 0.525
Al1 Al 0.213 0.102 0.730
Al2 Al 0.213 0.398 0.230
Al3 Al 0.787 0.602 0.770
Al4 Al 0.787 0.898 0.270
Ge1 Ge 0.209 0.658 0.451
Ge2 Ge 0.209 0.842 0.951
Ge3 Ge 0.301 0.590 0.720
Ge4 Ge 0.301 0.910 0.220
Ge5 Ge 0.699 0.090 0.780
Ge6 Ge 0.699 0.410 0.280
Ge7 Ge 0.791 0.158 0.049
Ge8 Ge 0.791 0.342 0.549
O1 O 0.003 0.661 0.916
O2 O 0.003 0.839 0.416
O3 O 0.159 0.681 0.187
O4 O 0.159 0.819 0.687
O5 O 0.202 0.052 0.865
O6 O 0.202 0.448 0.365
O7 O 0.222 0.117 0.277
O8 O 0.222 0.383 0.777
O9 O 0.247 0.502 0.574
O10 O 0.247 0.998 0.074
O11 O 0.406 0.675 0.974
O12 O 0.406 0.825 0.474
O13 O 0.429 0.122 0.698
O14 O 0.429 0.378 0.198
O15 O 0.571 0.622 0.802
O16 O 0.571 0.878 0.302
O17 O 0.594 0.175 0.526
O18 O 0.594 0.325 0.026
O19 O 0.753 0.002 0.926
O20 O 0.753 0.498 0.426
O21 O 0.778 0.617 0.223
O22 O 0.778 0.883 0.723
O23 O 0.798 0.552 0.635
O24 O 0.798 0.948 0.135
O25 O 0.841 0.181 0.313
O26 O 0.841 0.319 0.813
O27 O 0.997 0.161 0.584
O28 O 0.997 0.339 0.084

Record 9
Here is crystalline Mg3HPt at its relaxed geometry from Alexandria. Energies are from PBEsol.

```
data_Mg3HPt
_symmetry_space_group_name_H-M 'P 1'
_symmetry_Int_Tables_number 1
_cell_length_a 4.129
_cell_length_b 4.129
_cell_length_c 4.129
_cell_angle_alpha 90.00
_cell_angle_beta 90.00
_cell_angle_gamma 90.00
loop_
_symmetry_equiv_pos_as_xyz
'x,y,z'
loop_
_atom_site_label
_atom_site_type_symbol
_atom_site_fract_x
_atom_site_fract_y
_atom_site_fract_z
Mg1 Mg 0.000 0.000 0.500
Mg2 Mg 0.000 0.500 0.000
Mg3 Mg 0.500 0.000 0.000
H1 H 0.000 0.000 0.000
Pt1 Pt 0.500 0.500 0.500
```

Record 10
# MgScPd2O PBEsol relaxed
# - formation energy from raw total energies (meV/atom) = -702
data_MgScPd2O
_symmetry_space_group_name_H-M 'P 1'
_symmetry_Int_Tables_number 1
_cell_length_a 4.521
_cell_length_b 4.521
_cell_length_c 3.758
_cell_angle_alpha 90.00
_cell_angle_beta 90.00
_cell_angle_gamma 90.00
loop_
_symmetry_equiv_pos_as_xyz
'x,y,z'
loop_
_atom_site_label
_atom_site_type_symbol
_atom_site_fract_x
_atom_site_fract_y
_atom_site_fract_z
Mg1 Mg 0.000 0.000 0.000
Sc1 Sc 0.500 0.500 0.000
Pd1 Pd 0.000 0.500 0.500
Pd2 Pd 0.500 0.000 0.500
O1 O 0.000 0.000 0.500

Record 11
# ZrPt2Rh PBEsol relaxed
# - formation energy (eV/f.u.) = -2.54
data_ZrPt2Rh
_symmetry_space_group_name_H-M 'P 1'
_symmetry_Int_Tables_number 1
_cell_length_a 2.940
_cell_length_b 3.828
_cell_length_c 5.626
_cell_angle_alpha 90.00
_cell_angle_beta 90.00
_cell_angle_gamma 90.00
loop_
_symmetry_equiv_pos_as_xyz
'x,y,z'
loop_
_atom_site_label
_atom_site_type_symbol
_atom_site_fract_x
_atom_site_fract_y
_atom_site_fract_z
Zr1 Zr 0.000 0.000 0.000
Pt1 Pt 0.000 0.000 0.510
Pt2 Pt 0.500 0.500 0.263
Rh1 Rh 0.500 0.500 0.749

Record 12
Here is crystalline MnCo3H at its relaxed geometry from Alexandria. Energies are from PBEsol.

```
data_MnCo3H
_symmetry_space_group_name_H-M 'P 1'
_symmetry_Int_Tables_number 1
_cell_length_a 3.501
_cell_length_b 3.501
_cell_length_c 3.501
_cell_angle_alpha 90.00
_cell_angle_beta 90.00
_cell_angle_gamma 90.00
loop_
_symmetry_equiv_pos_as_xyz
'x,y,z'
loop_
_atom_site_label
_atom_site_type_symbol
_atom_site_fract_x
_atom_site_fract_y
_atom_site_fract_z
Mn1 Mn 0.000 0.000 0.000
Co1 Co 0.000 0.500 0.500
Co2 Co 0.500 0.000 0.500
Co3 Co 0.500 0.500 0.000
H1 H 0.500 0.500 0.500
```

Raw total energy, record by record: -4.174, -3.151, -5.696, -3.471, -5.624, -2.282, -3.765, -7.532, -3.473, -5.800, -8.425, -7.235 eV/atom
DOS(E_F), record by record: 0.423, 0.351, 0.413, 0.482, 0.695, 0.823, 0.393, 0.000, 0.227, 0.558, 1.006, 1.307 states/eV/atom